Record 1
The following is a DFT calculation (PBE) of an optimized crystal structure of AlHgCl2.

## Properties
The value obtained for the theoretical density is 4.12 g/cm³. The calculation puts the distance to the lowest polymorph of the same formula at 213 meV per atom. As for the calculated total energy: -2.458 eV per atom.

Cell lengths 3.7481, 3.7481, 10.7947 Å; angles 90.00, 90.00, 127.50 degrees
Last column: nearest neighbours and their distance in Å.
Positions (direct):
Cl  0.0000  0.0000  0.5913  2 Al 2.38
Cl  0.0000  0.0000  0.9087  2 Al 2.38
Al  0.5000  0.5000  0.7500  4 Cl 2.38
Hg  0.5000  0.5000  0.2500  2 Hg 3.32

***

Record 2
The following is a DFT calculation (PBE) of an optimized crystal structure of AlHg2Cl.

## Properties
The value obtained for the theoretical density is 7.58 g/cm³. The calculation puts the distance to the lowest polymorph of the same formula at 152 meV per atom. As for the calculated total energy: -1.683 eV per atom.

Cell lengths 7.5675, 7.5675, 7.5675 Å; angles 30.93, 30.93, 30.93 degrees
Last column: nearest neighbours and their distance in Å.
Positions (direct):
Hg  0.9906  0.9906  0.9906  3 Al 2.82, 3 Cl 3.07
Hg  0.5094  0.5094  0.5094  3 Al 2.82, 3 Cl 3.07
Al  0.2500  0.2500  0.2500  6 Hg 2.82
Cl  0.7500  0.7500  0.7500  6 Hg 3.07